RbPaHgO4: relaxed, PBE.

Lattice parameters (Å, degrees): 6.923 7.582 7.064 117.77 90.00 117.16
Positions (direct):
O 0.310 0.619 0.355
O 0.690 0.381 0.236
O 0.323 0.024 0.762
O 0.677 0.976 0.238
O 0.299 0.976 0.238
O 0.310 0.619 0.764
O 0.701 0.024 0.762
O 0.690 0.381 0.645
Pa 0.500 0.000 0.000
Pa 0.500 0.000 0.500
Rb 0.157 0.313 0.907
Rb 0.843 0.687 0.093
Hg 0.000 0.500 0.500
Hg 0.500 0.500 0.500

Raw formation energy in kJ/mol of atoms: -210
Space group: Imma (74)
Energy in eV per atom: -6.549